Material: V2CuClF
Method: DFT, PBE+U
State: relaxed

Properties
Energy   -19.53 eV/f.u.
Crystal system   tetragonal
N(E_F)   0.498 states/eV/atom
Calculated volume   113 Å³ per cell

Cell: 5.0109 5.0109 4.5083 Å, 90.00 90.00 90.00°
Sites, in units of the cell vectors:
V1 0.0000 0.5000 0.0000
V2 0.5000 0.0000 0.0000
Cu1 0.0000 0.0000 0.0000
Cl1 0.0000 0.0000 0.5000
F1 0.5000 0.5000 0.5000